{
  "formula": "CeInI6",
  "functional": "PBE",
  "state": "optimized geometry",
  "space_group": "R-3, No. 148",
  "dft_energy_ev_per_atom": -3.0881,
  "raw_formation_energy_ev_per_atom": -0.84,
  "n_ef_per_ev_fu": 6.93,
  "lattice": [[3.811, 2.201, 6.946], [-3.811, 2.201, 6.946], [0.000, -4.401, 6.946]],
  "species": ["Ce", "In", "I", "I", "I", "I", "I", "I"],
  "frac_coords": [[0.000, 0.000, 0.000], [0.500, 0.500, 0.500], [0.091, 0.416, 0.745], [0.255, 0.909, 0.584], [0.416, 0.745, 0.091], [0.584, 0.255, 0.909], [0.745, 0.091, 0.416], [0.909, 0.584, 0.255]]
}



{
  "formula": "Ac2PuI",
  "functional": "PBE",
  "state": "optimized geometry",
  "space_group": "R-3m, No. 166",
  "dft_energy_ev_per_atom": -6.3073,
  "raw_formation_energy_ev_per_atom": -0.28,
  "n_ef_per_ev_fu": 7.66,
  "lattice": [[2.000, 1.154, 11.338], [-2.000, 1.154, 11.338], [0.000, -2.309, 11.338]],
  "species": ["Ac", "Ac", "Pu", "I"],
  "frac_coords": [[0.248, 0.248, 0.248], [0.752, 0.752, 0.752], [0.000, 0.000, 0.000], [0.500, 0.500, 0.500]]
}



no.,mass density (Mg/m³)
1,4.8
2,8.7